Record 1
Material: Mg3Ir
Method: DFT, PBE
State: optimized geometry

The space group is R-3m. The calculation puts the size of the total moment at 0.00 μB per atom. For the formation energy from the elements, the calculation gives -0.34 eV per formula unit. Its raw total energy is -14.0 eV/cell.

a b c (Å): 5.3063 5.3063 5.3063
angles (deg): 116.58 116.58 116.58
Last column: nearest neighbours and their distance in Å.
Fractional positions:
Mg: 0.0000 0.5000 0.5000  6 Mg 2.79-2.98, 2 Ir 2.79
Mg: 0.5000 0.0000 0.5000  2 Ir 2.79, 6 Mg 2.79-2.98
Mg: 0.5000 0.5000 0.0000  6 Mg 2.79-2.98, 2 Ir 2.79
Ir: 0.0000 0.0000 0.0000  6 Mg 2.79, 2 Ir 2.98

---

Record 2
Material: MgIr2
Method: DFT, PBE
State: optimized geometry

The space group is C2/m. The calculation puts the size of the total moment at 0.00 μB per atom. For the formation energy from the elements, the calculation gives -0.65 eV per formula unit. Its raw total energy is -39.9 eV/cell.

a b c (Å): 5.2453 5.2453 6.6670
angles (deg): 103.72 103.72 30.83
Last column: nearest neighbours and their distance in Å.
Fractional positions:
Mg: 0.0212 0.0212 0.3006  9 Ir 2.66-2.94, 3 Mg 2.79
Mg: 0.9788 0.9788 0.6994  9 Ir 2.66-2.94, 3 Mg 2.79
Ir: 0.2912 0.2912 0.3559  5 Mg 2.66-2.94, 7 Ir 2.67-2.79
Ir: 0.3579 0.3579 0.9820  8 Ir 2.65-2.82, 4 Mg 2.73-2.85
Ir: 0.6421 0.6421 0.0180  8 Ir 2.65-2.82, 4 Mg 2.73-2.85
Ir: 0.7088 0.7088 0.6441  5 Mg 2.66-2.94, 7 Ir 2.67-2.79

---

Record 3
Material: MgIr
Method: DFT, PBE
State: optimized geometry

The space group is P-3m1. The calculation puts the size of the total moment at 0.00 μB per atom. For the formation energy from the elements, the calculation gives -0.08 eV per formula unit. Its raw total energy is -21.1 eV/cell.

a b c (Å): 2.8614 2.8614 9.2331
angles (deg): 90.00 90.00 120.00
Last column: nearest neighbours and their distance in Å.
Fractional positions:
Mg: 0.3333 0.6667 0.3516  3 Ir 2.73, 6 Mg 2.86
Mg: 0.6667 0.3333 0.6484  3 Ir 2.73, 6 Mg 2.86
Ir: 0.3333 0.6667 0.8836  9 Ir 2.71-2.86, 3 Mg 2.73
Ir: 0.6667 0.3333 0.1164  9 Ir 2.71-2.86, 3 Mg 2.73

---

Record 4
Material: MgIr2
Method: DFT, PBE
State: optimized geometry

The space group is P6/mmm. The calculation puts the size of the total moment at 0.00 μB per atom. For the formation energy from the elements, the calculation gives -0.36 eV per formula unit. Its raw total energy is -19.7 eV/cell.

a b c (Å): 4.4185 4.4185 2.7884
angles (deg): 90.00 90.00 120.00
Last column: nearest neighbours and their distance in Å.
Fractional positions:
Mg: 0.0000 0.0000 0.0000  2 Mg 2.79, 12 Ir 2.91
Ir: 0.3333 0.6667 0.5000  5 Ir 2.55-2.79
Ir: 0.6667 0.3333 0.5000  5 Ir 2.55-2.79

---

Record 5
Material: MgIr2
Method: DFT, PBE
State: optimized geometry

The space group is I4_1/amd. The calculation puts the size of the total moment at 0.00 μB per atom. For the formation energy from the elements, the calculation gives -0.37 eV per formula unit. Its raw total energy is -78.7 eV/cell.

a b c (Å): 12.1034 12.1034 12.1034
angles (deg): 161.37 161.37 26.46
Last column: nearest neighbours and their distance in Å.
Fractional positions:
Mg: 0.2953 0.5453 0.7500  10 Ir 2.67-2.81, 2 Mg 2.90
Mg: 0.4547 0.7047 0.7500  10 Ir 2.67-2.81, 2 Mg 2.90
Mg: 0.5453 0.2953 0.2500  10 Ir 2.67-2.81, 2 Mg 2.90
Mg: 0.7047 0.4547 0.2500  10 Ir 2.67-2.81, 2 Mg 2.90
Ir: 0.0400 0.7900 0.2500  6 Ir 2.72-2.85, 6 Mg 2.77-2.81
Ir: 0.1278 0.3778 0.7500  4 Mg 2.67-2.76, 8 Ir 2.75-2.85
Ir: 0.2100 0.9600 0.2500  6 Ir 2.72-2.85, 6 Mg 2.77-2.81
Ir: 0.3778 0.1278 0.2500  4 Mg 2.67-2.76, 8 Ir 2.75-2.85
Ir: 0.6222 0.8722 0.7500  4 Mg 2.67-2.76, 8 Ir 2.75-2.85
Ir: 0.7900 0.0400 0.7500  6 Ir 2.72-2.85, 6 Mg 2.77-2.81
Ir: 0.8722 0.6222 0.2500  4 Mg 2.67-2.76, 8 Ir 2.75-2.85
Ir: 0.9600 0.2100 0.7500  6 Ir 2.72-2.85, 6 Mg 2.77-2.81

---

Record 6
Material: MgIr
Method: DFT, PBE
State: optimized geometry

The space group is Cmmm. The calculation puts the size of the total moment at 0.00 μB per atom. For the formation energy from the elements, the calculation gives -0.56 eV per formula unit. Its raw total energy is -33.0 eV/cell.

a b c (Å): 7.0679 7.0679 4.4107
angles (deg): 90.00 90.00 155.02
Last column: nearest neighbours and their distance in Å.
Fractional positions:
Mg: 0.0000 0.0000 0.0000  8 Ir 2.68-2.83
Mg: 0.1569 0.8431 0.5000  6 Ir 2.65-2.69
Mg: 0.8431 0.1569 0.5000  6 Ir 2.65-2.69
Ir: 0.3274 0.6726 0.0000  2 Ir 2.63, 6 Mg 2.69-2.83
Ir: 0.5000 0.5000 0.5000  8 Mg 2.65-2.68
Ir: 0.6726 0.3274 0.0000  2 Ir 2.63, 6 Mg 2.69-2.83

---

Record 7
Material: MgIr
Method: DFT, PBE
State: optimized geometry

The space group is P2_12_12_1. The calculation puts the size of the total moment at 0.00 μB per atom. For the formation energy from the elements, the calculation gives -0.32 eV per formula unit. Its raw total energy is -86.2 eV/cell.

a b c (Å): 4.8564 7.5669 7.6182
angles (deg): 90.00 90.00 90.00
Last column: nearest neighbours and their distance in Å.
Fractional positions:
Mg: 0.1558 0.0361 0.2287  4 Ir 2.68-2.89, 1 Mg 2.91
Mg: 0.1857 0.3238 0.5787  4 Ir 2.59-2.85
Mg: 0.3143 0.6762 0.0787  4 Ir 2.59-2.85
Mg: 0.3442 0.9639 0.7287  4 Ir 2.68-2.89, 1 Mg 2.91
Mg: 0.6558 0.4639 0.7713  4 Ir 2.68-2.89, 1 Mg 2.91
Mg: 0.6857 0.1762 0.4213  4 Ir 2.59-2.85
Mg: 0.8143 0.8238 0.9213  4 Ir 2.59-2.85
Mg: 0.8442 0.5361 0.2713  4 Ir 2.68-2.89, 1 Mg 2.91
Ir: 0.1369 0.3302 0.9512  5 Ir 2.60-2.81, 2 Mg 2.85-2.89
Ir: 0.1551 0.6143 0.7604  6 Mg 2.59-2.81, 3 Ir 2.60-2.70
Ir: 0.3449 0.3856 0.2604  6 Mg 2.59-2.81, 3 Ir 2.60-2.70
Ir: 0.3631 0.6698 0.4512  5 Ir 2.60-2.81, 2 Mg 2.85-2.89
Ir: 0.6369 0.1698 0.0488  5 Ir 2.60-2.81, 2 Mg 2.85-2.89
Ir: 0.6551 0.8856 0.2396  6 Mg 2.59-2.81, 3 Ir 2.60-2.70
Ir: 0.8449 0.1144 0.7396  6 Mg 2.59-2.81, 3 Ir 2.60-2.70
Ir: 0.8631 0.8302 0.5488  5 Ir 2.60-2.81, 2 Mg 2.85-2.89

---

Record 8
Material: Mg6Ir
Method: DFT, PBE
State: optimized geometry

The space group is Cmcm. The calculation puts the size of the total moment at 0.00 μB per atom. For the formation energy from the elements, the calculation gives -1.35 eV per formula unit. Its raw total energy is -39.6 eV/cell.

a b c (Å): 5.5957 5.5957 9.2830
angles (deg): 90.00 90.00 82.62
Last column: nearest neighbours and their distance in Å.
Fractional positions:
Mg: 0.0278 0.5979 0.2500  2 Ir 2.83-2.95, 7 Mg 3.05-3.16
Mg: 0.1647 0.8353 0.5870  1 Ir 2.70, 3 Mg 2.92-2.98
Mg: 0.1647 0.8353 0.9130  1 Ir 2.70, 3 Mg 2.92-2.98
Mg: 0.3278 0.3278 0.0000  2 Ir 2.75, 5 Mg 2.89-3.05
Mg: 0.3278 0.3278 0.5000  2 Ir 2.75, 5 Mg 2.89-3.05
Mg: 0.4021 0.9722 0.2500  2 Ir 2.83-2.95, 7 Mg 3.05-3.16
Mg: 0.5979 0.0278 0.7500  2 Ir 2.83-2.95, 7 Mg 3.05-3.16
Mg: 0.6722 0.6722 0.0000  2 Ir 2.75, 5 Mg 2.89-3.05
Mg: 0.6722 0.6722 0.5000  2 Ir 2.75, 5 Mg 2.89-3.05
Mg: 0.8353 0.1647 0.0870  1 Ir 2.70, 3 Mg 2.92-2.98
Mg: 0.8353 0.1647 0.4130  1 Ir 2.70, 3 Mg 2.92-2.98
Mg: 0.9722 0.4021 0.7500  2 Ir 2.83-2.95, 7 Mg 3.05-3.16
Ir: 0.4669 0.5331 0.7500  10 Mg 2.70-2.95
Ir: 0.5331 0.4669 0.2500  10 Mg 2.70-2.95

---

Record 9
Material: MgIr
Method: DFT, PBE
State: optimized geometry

The space group is P6_3/mmc. The calculation puts the size of the total moment at 0.00 μB per atom. For the formation energy from the elements, the calculation gives 0.20 eV per formula unit. Its raw total energy is -41.0 eV/cell.

a b c (Å): 4.4638 4.4638 7.6911
angles (deg): 90.00 90.00 120.00
Last column: nearest neighbours and their distance in Å.
Fractional positions:
Mg: 0.0000 0.0000 0.2500  3 Mg 2.58, 6 Ir 2.87
Mg: 0.0000 0.0000 0.7500  3 Mg 2.58, 6 Ir 2.87
Mg: 0.3333 0.6667 0.2500  8 Ir 2.57-2.87, 3 Mg 2.58
Mg: 0.6667 0.3333 0.7500  8 Ir 2.57-2.87, 3 Mg 2.58
Ir: 0.3333 0.6667 0.5847  1 Ir 2.54, 1 Mg 2.57
Ir: 0.3333 0.6667 0.9153  1 Ir 2.54, 1 Mg 2.57
Ir: 0.6667 0.3333 0.0847  1 Ir 2.54, 1 Mg 2.57
Ir: 0.6667 0.3333 0.4153  1 Ir 2.54, 1 Mg 2.57

---

Record 10
Material: MgIr3
Method: DFT, PBE
State: optimized geometry

The space group is Pmmm. The calculation puts the size of the total moment at 0.00 μB per atom. For the formation energy from the elements, the calculation gives -0.41 eV per formula unit. Its raw total energy is -28.6 eV/cell.

a b c (Å): 2.7752 3.8893 5.5170
angles (deg): 90.00 90.00 90.00
Last column: nearest neighbours and their distance in Å.
Fractional positions:
Mg: 0.0000 0.0000 0.0000  10 Ir 2.76-2.77, 2 Mg 2.78
Ir: 0.0000 0.0000 0.5000  10 Ir 2.74-2.78, 2 Mg 2.76
Ir: 0.5000 0.5000 0.2555  8 Ir 2.70-2.82, 4 Mg 2.77
Ir: 0.5000 0.5000 0.7445  8 Ir 2.70-2.82, 4 Mg 2.77

---

> Which of these has the highest raw total energy?

Mg3Ir

---

> What is the size of the total moment in the third record?

0.00 μB per atom

---

> Which of these has the lowest formation energy from the elements?

Mg6Ir